The following is a DFT calculation (SCAN) of Cr2CdF at its PBEsol-relaxed geometry.

Cell: 4.5481 4.5481 4.5481 Å, 60.00 60.00 60.00°
Last column: magnetic moment on the atom in μB.
Atoms (fractional coordinates):
Cr1 0.7500 0.7500 0.7500  4.08
F1 0.0000 0.0000 0.0000  0.08
Cd1 0.5000 0.5000 0.5000  0.06
Cr2 0.2500 0.2500 0.2500  4.08

Calculated values
* ΔE_f (raw): -0.28 eV/f.u.
* crystal system: cubic
* space group: No. 225
* mass density: 5.88 Mg/m³
* magnetization: 9.24 μB/f.u.


The following is a DFT calculation (SCAN) of Li2ZnAs at its PBEsol-relaxed geometry.

Cell: 2.8972 2.8972 8.8203 Å, 80.55 80.55 60.00°
Atoms (fractional coordinates):
Zn1 0.5000 0.5000 0.5000
Li1 0.7452 0.7452 0.7644
As1 0.0000 0.0000 0.0000
Li2 0.2548 0.2548 0.2356

Calculated values
* formation enthalpy at 0 K: -0.25 eV per atom
* crystal system: trigonal
* ΔE to the lowest computed polymorph: 152 meV/atom
* space group: No. 166
* mass density: 4.07 Mg/m³
* magnetization: 0.00 μB/f.u.


The following is a DFT calculation (SCAN) of AlCr2Os at its PBEsol-relaxed geometry.

Cell: 2.6462 3.8531 4.9591 Å, 90.00 90.00 90.00°
Atoms (fractional coordinates):
Al1 0.5000 0.5000 0.5000
Os1 0.5000 0.5000 0.0000
Cr1 0.0000 0.0000 0.7432
Cr2 0.0000 0.0000 0.2568

Calculated values
* formation enthalpy at 0 K: -0.05 eV per atom
* crystal system: orthorhombic
* space group: No. 47
* mass density: 10.55 Mg/m³
* magnetization: 0.00 μB/f.u.


The following is a DFT calculation (SCAN) of In2CoAs at its PBEsol-relaxed geometry.

Cell: 2.9839 2.9839 7.9999 Å, 90.00 90.00 90.00°
Last column: magnetic moment on the atom in μB.
Atoms (fractional coordinates):
In1 0.0000 0.0000 0.7042  -0.03
As1 0.5000 0.5000 0.0000  -0.08
Co1 0.5000 0.5000 0.5000  0.88
In2 0.0000 0.0000 0.2958  -0.03

Calculated values
* formation enthalpy at 0 K: 0.32 eV per atom
* crystal system: tetragonal
* space group: No. 123
* mass density: 8.47 Mg/m³
* magnetization: 0.68 μB/f.u.


| no. | VASP energy (eV per cell) |
| --- | --- |
| 1 | -71.0 |
| 2 | -39.5 |
| 3 | -116.6 |
| 4 | -103.0 |